Entry w
Computed, not measured: an optimized crystal structure of AlHgC at the PBE level of DFT.

Lattice parameters (Å, degrees): 3.196 5.858 6.364 89.77 88.12 89.16
Positions (direct):
Al: 0.519 0.997 0.704
Al: 0.481 0.003 0.296
Hg: 0.628 0.499 0.745
Hg: 0.372 0.501 0.255
C: 0.991 0.000 0.104
C: 0.009 0.000 0.896

Output
- Space-group type: No. 2
- DOS at the Fermi energy: 0.6 states/eV/f.u.

Entry x
Computed, not measured: an optimized crystal structure of AlHgC at the PBE level of DFT.

Lattice parameters (Å, degrees): 3.420 3.420 4.989 90.00 90.00 120.00
Positions (direct):
Hg: 0.333 0.667 0.000
Al: 0.667 0.333 0.500
C: 0.333 0.667 0.500

Output
- Space-group type: No. 187
- DOS at the Fermi energy: 1.1 states/eV/f.u.

How do the energies compare? Relative to the most stable structure, in meV/atom: entry w 0; entry x 41.

Entry w
Computed, not measured: an optimized crystal structure of AlHgC at the PBE level of DFT.

Lattice parameters (Å, degrees): 3.129 4.262 8.991 79.96 70.37 68.49
Positions (direct):
Hg: 0.267 0.276 0.362
Hg: 0.733 0.724 0.638
C: 0.095 0.332 0.986
C: 0.905 0.668 0.014
Al: 0.821 0.110 0.869
Al: 0.179 0.890 0.131

Output
- Space-group type: No. 2
- DOS at the Fermi energy: 0.7 states/eV/f.u.

Entry x
Computed, not measured: an optimized crystal structure of AlHgC at the PBE level of DFT.

Lattice parameters (Å, degrees): 3.635 3.631 9.625 81.94 85.93 72.60
Positions (direct):
Hg: 0.152 0.119 0.364
Hg: 0.848 0.881 0.636
C: 0.835 0.164 0.000
C: 0.165 0.836 0.000
Al: 0.694 0.719 0.906
Al: 0.306 0.281 0.094

Output
- Space-group type: No. 2
- DOS at the Fermi energy: 0.9 states/eV/f.u.

Entry y
Computed, not measured: an optimized crystal structure of AlHgC at the PBE level of DFT.

Lattice parameters (Å, degrees): 3.038 4.033 9.036 90.03 94.59 90.00
Positions (direct):
Al: 0.951 0.955 0.049
Al: 0.392 0.954 0.799
C: 0.434 0.618 0.984
C: 0.434 0.292 0.984
Hg: 0.828 0.454 0.607
Hg: 0.968 0.955 0.350

Output
- Space-group type: No. 6
- DOS at the Fermi energy: 0.8 states/eV/f.u.

How do the energies compare? Relative to the most stable structure, in meV/atom: entry w 0; entry x 25; entry y 47.

Entry w
Computed, not measured: an optimized crystal structure of Al3HgC at the PBE level of DFT.

Lattice parameters (Å, degrees): 4.993 4.993 4.993 90.00 90.00 90.00
Each line ends with the local moment (μB).
Positions (direct):
C: 0.500 0.500 0.500  0.76
Al: 0.000 0.500 0.000  -0.02
Al: 0.500 0.000 0.000  -0.02
Al: 0.000 0.000 0.500  -0.03
Hg: 0.000 0.000 0.000  0.01

Output
- Space-group type: No. 221
- DOS at the Fermi energy: 2.8 states/eV/f.u.

Entry x
Computed, not measured: an optimized crystal structure of Al3HgC at the PBE level of DFT.

Lattice parameters (Å, degrees): 4.189 4.189 4.189 90.00 90.00 90.00
Positions (direct):
Al: 0.500 0.000 0.000
Al: 0.000 0.500 0.000
Al: 0.000 0.000 0.500
Hg: 0.500 0.500 0.500
C: 0.000 0.000 0.000

Output
- Space-group type: No. 221
- DOS at the Fermi energy: 3.0 states/eV/f.u.

How do the energies compare? Relative to the most stable structure, in meV/atom: entry w 1512; entry x 0.

Entry w
Computed, not measured: an optimized crystal structure of AlHgC3 at the PBE level of DFT.

Lattice parameters (Å, degrees): 4.307 4.307 4.307 90.00 90.00 90.00
Each line ends with the local moment (μB).
Positions (direct):
C: 0.000 0.500 0.000  0.16
C: 0.500 0.000 0.000  0.27
C: 0.000 0.000 0.500  0.11
Al: 0.500 0.500 0.500  -0.01
Hg: 0.000 0.000 0.000  0.02

Output
- Space-group type: No. 221
- DOS at the Fermi energy: 5.1 states/eV/f.u.

Entry x
Computed, not measured: an optimized crystal structure of AlHgC3 at the PBE level of DFT.

Lattice parameters (Å, degrees): 4.028 4.028 4.028 90.00 90.00 90.00
Positions (direct):
C: 0.000 0.000 0.500
C: 0.500 0.000 0.000
C: 0.000 0.500 0.000
Hg: 0.500 0.500 0.500
Al: 0.000 0.000 0.000

Output
- Space-group type: No. 221
- DOS at the Fermi energy: 4.2 states/eV/f.u.

How do the energies compare? Relative to the most stable structure, in meV/atom: entry w 1056; entry x 0.